A plane-wave DFT calculation with GGA+U was carried out for a relaxed structure of RbCrTc2O8.

abc: 5.4209 5.4209 8.3036
angles: 90.00 90.00 120.00
Last column: magnetic moment on the atom in μB.
Sites, in units of the cell vectors:
Rb1 0.0000 0.0000 0.0000  0.00
Cr1 0.0000 0.0000 0.5000  3.41
Tc1 0.6667 0.3333 0.2839  0.58
Tc2 0.3333 0.6667 0.7161  0.58
O1 0.3333 0.6667 0.9265  0.05
O2 0.3286 0.2738 0.3526  0.01
O3 0.7262 0.0548 0.3526  0.01
O4 0.6667 0.3333 0.0735  0.05
O5 0.2738 0.9452 0.6474  0.01
O6 0.6714 0.7262 0.6474  0.01
O7 0.0548 0.3286 0.6474  0.01
O8 0.9452 0.6714 0.3526  0.01

The value obtained for the total magnetic moment is 0.4212 μB/atom. For the density of states at the Fermi level, the calculation gives 4.04 states/eV/f.u. The raw total energy comes out at -87.50 eV/cell. As for the space group: P-3, No. 147. Its calculated density is 3.6 g/cm³.